Entry 1:
Compound: SnBi3S
Source: the Alexandria database
Functional: PBE-GGA
Structure: relaxed

abc: 5.780 5.780 5.780
angles: 90.00 90.00 90.00
Last column: magnetic moment on the atom in μB.
Sites, in units of the cell vectors:
1 Bi 0.000 0.000 0.500  0.04
2 Bi 0.000 0.500 0.000  0.07
3 Bi 0.500 0.000 0.000  0.07
4 S 0.500 0.500 0.500  0.43
5 Sn 0.000 0.000 0.000  -0.02

Values from the calculation:
ΔE to the lowest computed polymorph	618.8	meV per atom
raw formation energy	0.97	eV per atom
N(E_F)	6.7	states/eV/f.u.
total DFT energy (no corrections)	-2.983	eV/atom

Entry 2:
Compound: SnBi2S6
Source: the Alexandria database
Functional: PBE-GGA
Structure: relaxed

abc: 6.287 6.287 12.303
angles: 90.00 90.00 90.00
Sites, in units of the cell vectors:
1 S 0.793 0.207 0.500
2 S 0.707 0.707 0.000
3 S 0.311 0.311 0.342
4 S 0.189 0.811 0.842
5 S 0.189 0.811 0.158
6 S 0.811 0.189 0.158
7 S 0.311 0.311 0.658
8 S 0.689 0.689 0.658
9 S 0.207 0.793 0.500
10 S 0.811 0.189 0.842
11 S 0.293 0.293 0.000
12 S 0.689 0.689 0.342
13 Bi 0.000 0.000 0.334
14 Bi 0.500 0.500 0.166
15 Bi 0.500 0.500 0.834
16 Bi 0.000 0.000 0.666
17 Sn 0.500 0.500 0.500
18 Sn 0.000 0.000 0.000

Values from the calculation:
raw formation energy	-0.01	eV per atom
N(E_F)	8.2	states/eV/f.u.
total DFT energy (no corrections)	-4.070	eV/atom

Entry 3:
Compound: SnBi3S
Source: the Alexandria database
Functional: PBE-GGA
Structure: relaxed

abc: 5.434 5.434 5.434
angles: 90.00 90.00 90.00
Sites, in units of the cell vectors:
1 Sn 0.500 0.500 0.500
2 S 0.000 0.000 0.000
3 Bi 0.000 0.000 0.500
4 Bi 0.000 0.500 0.000
5 Bi 0.500 0.000 0.000

Values from the calculation:
ΔE to the lowest computed polymorph	0.0	meV per atom
raw formation energy	0.35	eV per atom
N(E_F)	4.2	states/eV/f.u.
total DFT energy (no corrections)	-3.602	eV/atom

Entry 4:
Compound: Sn3Bi2S8
Source: the Alexandria database
Functional: PBE-GGA
Structure: relaxed

abc: 7.062 7.492 8.118
angles: 117.48 107.81 90.00
Sites, in units of the cell vectors:
1 S 0.622 0.126 0.757
2 S 0.622 0.631 0.757
3 S 0.909 0.602 0.204
4 S 0.378 0.369 0.243
5 S 0.091 0.398 0.796
6 S 0.072 0.893 0.787
7 S 0.378 0.874 0.243
8 S 0.928 0.107 0.213
9 Sn 0.500 0.000 0.000
10 Sn 0.000 0.264 0.000
11 Sn 0.000 0.736 0.000
12 Bi 0.334 0.245 0.491
13 Bi 0.666 0.755 0.509

Values from the calculation:
raw formation energy	-0.30	eV per atom
total DFT energy (no corrections)	-4.360	eV/atom

Entry 5:
Compound: SrSnBi2S6
Source: the Alexandria database
Functional: PBE-GGA
Structure: relaxed

abc: 7.094 7.095 7.487
angles: 61.72 61.72 60.00
Sites, in units of the cell vectors:
1 Sr 0.808 0.808 0.575
2 S 0.700 0.144 0.759
3 S 0.144 0.397 0.759
4 S 0.586 0.218 0.242
5 S 0.397 0.700 0.759
6 S 0.955 0.586 0.242
7 S 0.218 0.955 0.242
8 Sn 0.322 0.322 0.035
9 Bi 0.520 0.520 0.440
10 Bi 0.012 0.012 0.963

Values from the calculation:
raw formation energy	-0.67	eV per atom
total DFT energy (no corrections)	-4.489	eV/atom

Entry 6:
Compound: TaSnBiS2
Source: the Alexandria database
Functional: PBE-GGA
Structure: relaxed

abc: 4.728 5.908 4.728
angles: 90.00 90.00 90.00
Sites, in units of the cell vectors:
1 Sn 0.500 0.500 0.500
2 S 0.000 0.000 0.500
3 S 0.500 0.000 0.000
4 Ta 0.000 0.000 0.000
5 Bi 0.000 0.500 0.000

Values from the calculation:
raw formation energy	-0.17	eV per atom
N(E_F)	1.3	states/eV/f.u.
total DFT energy (no corrections)	-5.766	eV/atom

Entry 7:
Compound: Tl2SnBiS4
Source: the Alexandria database
Functional: PBE-GGA
Structure: relaxed

abc: 4.082 7.756 7.080
angles: 72.31 90.00 90.00
Sites, in units of the cell vectors:
1 S 0.500 0.710 0.256
2 S 0.500 0.290 0.744
3 S 0.000 0.292 0.230
4 S 0.000 0.708 0.770
5 Sn 0.500 0.500 0.000
6 Tl 0.000 0.000 0.000
7 Tl 0.500 0.000 0.500
8 Bi 0.000 0.500 0.500

Values from the calculation:
raw formation energy	-0.38	eV per atom
N(E_F)	3.9	states/eV/f.u.
total DFT energy (no corrections)	-4.020	eV/atom

Entry 8:
Compound: Tl3SnBi3S8
Source: the Alexandria database
Functional: PBE-GGA
Structure: relaxed

abc: 8.108 8.110 8.943
angles: 116.95 90.00 119.99
Sites, in units of the cell vectors:
1 Sn 0.000 0.000 0.500
2 S 0.219 0.438 0.696
3 S 0.737 0.474 0.710
4 S 0.263 0.526 0.290
5 S 0.781 0.562 0.304
6 S 0.758 0.977 0.696
7 S 0.242 0.023 0.304
8 S 0.219 0.977 0.696
9 S 0.781 0.023 0.304
10 Tl 0.000 0.000 0.000
11 Tl 0.000 0.500 0.000
12 Tl 0.500 0.500 0.000
13 Bi 0.500 0.000 0.500
14 Bi 0.000 0.500 0.500
15 Bi 0.500 0.500 0.500

Values from the calculation:
raw formation energy	-0.41	eV per atom
total DFT energy (no corrections)	-4.123	eV/atom

Entry 9:
Compound: TlSnBiS3
Source: the Alexandria database
Functional: PBE-GGA
Structure: relaxed

abc: 4.127 10.036 7.927
angles: 93.31 90.00 90.00
Sites, in units of the cell vectors:
1 S 0.250 0.168 0.040
2 S 0.250 0.847 0.368
3 S 0.250 0.492 0.779
4 S 0.750 0.508 0.221
5 S 0.750 0.153 0.632
6 S 0.750 0.832 0.960
7 Bi 0.250 0.667 0.086
8 Bi 0.750 0.333 0.914
9 Tl 0.750 0.676 0.585
10 Tl 0.250 0.324 0.415
11 Sn 0.750 0.992 0.242
12 Sn 0.250 0.008 0.758

Values from the calculation:
raw formation energy	-0.42	eV per atom
total DFT energy (no corrections)	-4.189	eV/atom

Entry 10:
Compound: SrBiS2
Source: the Alexandria database
Functional: PBE-GGA
Structure: relaxed

abc: 4.810 5.986 18.379
angles: 90.00 90.00 90.00
Sites, in units of the cell vectors:
1 S 0.750 0.705 0.348
2 S 0.250 0.795 0.848
3 S 0.750 0.254 0.935
4 S 0.750 0.205 0.152
5 S 0.250 0.295 0.652
6 S 0.750 0.754 0.565
7 S 0.250 0.746 0.065
8 S 0.250 0.246 0.435
9 Sr 0.250 0.244 0.062
10 Sr 0.250 0.744 0.438
11 Sr 0.750 0.256 0.562
12 Sr 0.750 0.756 0.938
13 Bi 0.750 0.273 0.359
14 Bi 0.250 0.227 0.859
15 Bi 0.750 0.773 0.141
16 Bi 0.250 0.727 0.641

Values from the calculation:
raw formation energy	-0.98	eV per atom
N(E_F)	1.6	states/eV/f.u.
total DFT energy (no corrections)	-4.438	eV/atom

Entry 11:
Compound: SrBiS2
Source: the Alexandria database
Functional: PBE-GGA
Structure: relaxed

abc: 6.053 6.053 8.745
angles: 69.75 69.75 90.00
Sites, in units of the cell vectors:
1 Bi 0.750 0.250 0.500
2 Bi 0.000 0.000 0.000
3 S 0.375 0.356 0.750
4 S 0.106 0.625 0.250
5 S 0.644 0.125 0.250
6 S 0.875 0.894 0.750
7 Sr 0.500 0.500 0.000
8 Sr 0.250 0.750 0.500

Values from the calculation:
raw formation energy	-0.86	eV per atom
N(E_F)	1.5	states/eV/f.u.
total DFT energy (no corrections)	-4.313	eV/atom

Entry 12:
Compound: SrBi3S
Source: the Alexandria database
Functional: PBE-GGA
Structure: relaxed

abc: 6.133 6.133 6.133
angles: 90.00 90.00 90.00
Last column: magnetic moment on the atom in μB.
Sites, in units of the cell vectors:
1 Sr 0.000 0.000 0.000  0.01
2 Bi 0.000 0.000 0.500  0.01
3 Bi 0.000 0.500 0.000  0.07
4 Bi 0.500 0.000 0.000  0.11
5 S 0.500 0.500 0.500  0.74

Values from the calculation:
ΔE to the lowest computed polymorph	1180.7	meV per atom
raw formation energy	1.04	eV per atom
N(E_F)	5.6	states/eV/f.u.
total DFT energy (no corrections)	-2.451	eV/atom